Entry 1:
An optimized crystal structure of LaPr8Mg2, computed with PBE.

Geometry as POSCAR:
```
LaPr8Mg2
1.0
-3.258 -3.273 3.822
2.625 -0.494 8.663
-3.163 6.223 6.057
La Pr Mg
1 8 2
direct
0.500 0.000 0.000
0.853 0.096 0.232
0.853 0.329 0.768
0.293 0.413 0.000
0.500 0.788 0.423
0.500 0.212 0.577
0.707 0.587 0.000
0.147 0.671 0.232
0.147 0.904 0.768
0.000 0.308 0.384
0.000 0.692 0.616
```

Computed properties:
ΔE to the lowest computed polymorph, eV per atom: 0.0981
V, Å³ per atom: 34.87
Symmetry: No. 12
Total magnetization, Bohr magnetons per cell: 0.00

=====

Entry 2:
An optimized crystal structure of La5Pr6Mg, computed with PBE.

Geometry as POSCAR:
```
La5Pr6Mg
1.0
-1.413 -2.743 -4.270
5.166 -8.284 3.616
-8.291 3.112 3.988
Pr Mg La
6 1 5
direct
0.836 0.589 0.672
0.836 0.083 0.672
0.500 0.749 0.000
0.500 0.251 0.000
0.164 0.917 0.328
0.164 0.411 0.328
0.000 0.000 0.000
0.667 0.167 0.334
0.333 0.333 0.666
0.000 0.500 0.000
0.667 0.667 0.334
0.333 0.833 0.666
```

Computed properties:
V, Å³ per atom: 35.49
Symmetry: No. 71
Total magnetization, Bohr magnetons per cell: 0.00

=====

Entry 3:
An optimized crystal structure of LaPrMg4, computed with PBE.

Geometry as POSCAR:
```
LaPrMg4
1.0
-0.102 -4.582 -4.148
5.188 -1.618 -2.946
2.731 -5.394 1.285
Pr Mg La
1 4 1
direct
0.000 0.000 0.000
0.625 0.625 0.124
0.625 0.124 0.625
0.625 0.625 0.625
0.124 0.625 0.625
0.250 0.250 0.250
```

Computed properties:
V, Å³ per atom: 27.83
Symmetry: No. 216
Total magnetization, Bohr magnetons per cell: 0.00

=====

Entry 4:
An optimized crystal structure of La9PrMg2, computed with PBE.

Geometry as POSCAR:
```
La9PrMg2
1.0
5.177 0.000 0.000
0.000 5.177 0.000
0.000 0.000 15.495
La Pr Mg
9 1 2
direct
0.500 0.500 0.000
0.500 0.500 0.335
0.500 0.500 0.665
0.500 0.000 0.170
0.500 0.000 0.500
0.500 0.000 0.830
0.000 0.500 0.170
0.000 0.500 0.500
0.000 0.500 0.830
0.000 0.000 0.000
0.000 0.000 0.337
0.000 0.000 0.663
```

Computed properties:
V, Å³ per atom: 34.61
Symmetry: No. 123
Total magnetization, Bohr magnetons per cell: 0.00

=====

Number 1: DFT formation energy 0.1025 eV/atom. Number 2: DFT formation energy 0.0078 eV/atom. Number 3: DFT formation energy -0.1254 eV/atom. Number 4: DFT formation energy -0.0120 eV/atom.